# InTcW2N

A relaxed structure of InTcW2N (GGA-PBE, the Alexandria database).

Computed properties:
ΔE_f (raw) = 3.894 eV per atom
E_tot = -5.57 eV/atom
D(E_F) = 3.11 states/eV/cell
Total magnetic moment = 0.20 μB/atom
Calculated volume = 26.147 Å³ per atom

a b c (Å): 5.1208 5.1208 4.9855
angles (deg): 90.00 90.00 90.00
Last column: nearest neighbours and their distance in Å.
Atoms (fractional coordinates):
N 0.5000 0.5000 0.5000  8 W 3.57, 4 Tc 3.62
Tc 0.0000 0.0000 0.5000  2 In 2.49
In 0.0000 0.0000 0.0000  2 Tc 2.49, 4 W 2.56
W 0.5000 0.0000 0.0000  2 In 2.56
W 0.0000 0.5000 0.0000  2 In 2.56


# InTeN3

A relaxed structure of InTeN3 (GGA-PBE, the Alexandria database).

Computed properties:
ΔE_f (raw) = 2.012 eV per atom
E_tot = -4.16 eV/atom
D(E_F) = 3.83 states/eV/cell
Total magnetic moment = 0.00 μB/atom
Calculated volume = 14.405 Å³ per atom

a b c (Å): 4.1607 4.1607 4.1607
angles (deg): 90.00 90.00 90.00
Last column: nearest neighbours and their distance in Å.
Atoms (fractional coordinates):
N 0.5000 0.0000 0.0000  2 In 2.08
N 0.0000 0.0000 0.5000  2 In 2.08
N 0.0000 0.5000 0.0000  2 In 2.08
In 0.0000 0.0000 0.0000  6 N 2.08
Te 0.5000 0.5000 0.5000  12 N 2.94


# InTeN3

A relaxed structure of InTeN3 (GGA-PBE, the Alexandria database).

Computed properties:
ΔE_f (raw) = 1.449 eV per atom
E_tot = -4.72 eV/atom
D(E_F) = 2.52 states/eV/cell
Total magnetic moment = 0.00 μB/atom
Calculated volume = 12.863 Å³ per atom

a b c (Å): 4.0066 4.0066 4.0066
angles (deg): 90.00 90.00 90.00
Last column: nearest neighbours and their distance in Å.
Atoms (fractional coordinates):
N 0.5000 0.0000 0.0000  2 Te 2.00
N 0.0000 0.5000 0.0000  2 Te 2.00
N 0.0000 0.0000 0.5000  2 Te 2.00
In 0.5000 0.5000 0.5000  12 N 2.83
Te 0.0000 0.0000 0.0000  6 N 2.00


# In3TeN

A relaxed structure of In3TeN (GGA-PBE, the Alexandria database).

Computed properties:
ΔE_f (raw) = 1.608 eV per atom
E_tot = -2.33 eV/atom
D(E_F) = 8.71 states/eV/cell
Total magnetic moment = 0.00 μB/atom
Calculated volume = 44.417 Å³ per atom
E above lowest polymorph = 1310 meV/atom

a b c (Å): 6.0558 6.0558 6.0558
angles (deg): 90.00 90.00 90.00
Last column: nearest neighbours and their distance in Å.
Atoms (fractional coordinates):
N 0.5000 0.5000 0.5000  12 In 4.28
In 0.5000 0.0000 0.0000  2 Te 3.03
In 0.0000 0.0000 0.5000  2 Te 3.03
In 0.0000 0.5000 0.0000  2 Te 3.03
Te 0.0000 0.0000 0.0000  6 In 3.03


# InTe2N

A relaxed structure of InTe2N (GGA-PBE, the Alexandria database).

Computed properties:
ΔE_f (raw) = 0.820 eV per atom
E_tot = -3.52 eV/atom
D(E_F) = 2.42 states/eV/cell
Total magnetic moment = 0.00 μB/atom
Calculated volume = 23.286 Å³ per atom
E above lowest polymorph = 252 meV/atom

a b c (Å): 9.8631 9.8631 9.8631
angles (deg): 19.46 19.46 19.46
Last column: nearest neighbours and their distance in Å.
Atoms (fractional coordinates):
In 0.0000 0.0000 0.0000  2 Te 3.22, 6 In 3.33
N 0.5000 0.5000 0.5000  6 Te 2.51
Te 0.1111 0.1111 0.1111  3 N 2.51
Te 0.8889 0.8889 0.8889  3 N 2.51


# In2TeN2

A relaxed structure of In2TeN2 (GGA-PBE, the Alexandria database).

Computed properties:
ΔE_f (raw) = 0.402 eV per atom
E_tot = -4.65 eV/atom
D(E_F) = 3.54 states/eV/cell
Total magnetic moment = 0.11 μB/atom
Calculated volume = 21.001 Å³ per atom

a b c (Å): 3.6508 3.6508 9.9296
angles (deg): 110.30 110.30 60.00
Last column: nearest neighbours and their distance in Å.
Atoms (fractional coordinates):
In 0.2398 0.2398 0.3534  3 N 2.11-2.12
In 0.7602 0.7602 0.6466  3 N 2.11-2.12
Te 0.0000 0.0000 0.0000  2 In 3.22
N 0.4143 0.4143 0.6264  3 In 2.11-2.12
N 0.5857 0.5857 0.3736  3 In 2.11-2.12